# 1
Material: Cd5Ag2Pd
Method: DFT, PBE-GGA
State: relaxed

a = 4.5885 Å, b = 5.8316 Å, c = 11.6498 Å
α = 90.00°, β = 90.00°, γ = 90.00°
Element x y z (fractional)
1 Pd 0.0000 0.5000 0.0000
2 Cd 0.0000 0.9310 0.7408
3 Ag 0.5000 0.3102 0.3664
4 Ag 0.5000 0.8102 0.1336
5 Cd 0.5000 0.6903 0.8910
6 Cd 0.0000 0.0000 0.0000
7 Cd 0.5000 0.1903 0.6090
8 Cd 0.5000 0.3097 0.1090
9 Cd 0.5000 0.8097 0.3910
10 Cd 0.0000 0.5000 0.5000
11 Cd 0.0000 0.4310 0.7592
12 Pd 0.0000 0.0000 0.5000
13 Ag 0.5000 0.6898 0.6336
14 Cd 0.0000 0.5690 0.2408
15 Ag 0.5000 0.1898 0.8664
16 Cd 0.0000 0.0690 0.2592

Summary:
- Space group: Pbam (55)
- ρ: 9.4 g/cm3
- Energy relative to the elements: -95 kJ/mol of formula units
- Fermi-level density of states: 1.803 states/eV/f.u.


# 2
Material: Cd2AgPd2
Method: DFT, PBE-GGA
State: relaxed

a = 3.8214 Å, b = 3.8214 Å, c = 7.3383 Å
α = 74.91°, β = 74.91°, γ = 90.00°
Element x y z (fractional)
1 Pd 0.2500 0.7500 0.5000
2 Cd 0.3967 0.3967 0.2067
3 Cd 0.6033 0.6033 0.7933
4 Ag 0.0000 0.0000 0.0000
5 Pd 0.7500 0.2500 0.5000

Summary:
- Space group: I4/mmm (139)
- ρ: 9.1 g/cm3
- Energy relative to the elements: 7 kJ/mol of formula units
- Fermi-level density of states: 2.336 states/eV/f.u.


# 3
Material: Cd6Ag10Pd
Method: DFT, PBE-GGA
State: relaxed

a = 5.7864 Å, b = 8.1084 Å, c = 8.1084 Å
α = 120.00°, β = 90.00°, γ = 90.00°
Element x y z (fractional)
1 Cd 0.6647 0.6664 0.0000
2 Ag 0.0000 0.6667 0.3333
3 Ag 0.0000 0.3333 0.6667
4 Cd 0.3353 0.0000 0.3336
5 Ag 0.8442 0.6830 0.6830
6 Cd 0.6647 0.0000 0.6664
7 Cd 0.3353 0.6664 0.6664
8 Ag 0.5000 0.3333 0.6667
9 Pd 0.5000 0.0000 0.0000
10 Ag 0.5000 0.6667 0.3333
11 Ag 0.8442 0.3170 0.0000
12 Ag 0.1558 0.6830 0.0000
13 Ag 0.1558 0.3170 0.3170
14 Ag 0.8442 0.0000 0.3170
15 Cd 0.6647 0.3336 0.3336
16 Cd 0.3353 0.3336 0.0000
17 Ag 0.1558 0.0000 0.6830

Summary:
- Space group: P-31m (162)
- ρ: 9.4 g/cm3
- Energy relative to the elements: -13 kJ/mol of formula units
- Fermi-level density of states: 6.538 states/eV/f.u.